(1)
This record from Alexandria via LeMat-Bulk describes a relaxed structure of CdIr2Ru. The functional is GGA-PBE.

a = 9.3064 Å, b = 9.3064 Å, c = 9.3064 Å
α = 17.31°, β = 17.31°, γ = 17.31°
Fractional coordinates of all 4 atoms:
Ru: 0.2500 0.2500 0.2500
Cd: 0.7500 0.7500 0.7500
Ir: 0.5061 0.5061 0.5061
Ir: 0.9939 0.9939 0.9939

## Properties
The calculation puts the calculated formation energy at 0.1563 eV/atom. Its crystal system is trigonal.

---

(2)
This record from Alexandria via LeMat-Bulk describes a relaxed structure of Ac3Pm2In4. The functional is GGA-PBE.

a = 5.1822 Å, b = 6.8676 Å, c = 10.5285 Å
α = 116.58°, β = 90.00°, γ = 112.17°
Fractional coordinates of all 9 atoms:
Ac: 0.0000 0.0000 0.0000
Ac: 0.3550 0.7101 0.3140
Ac: 0.6450 0.2899 0.6860
In: 0.0672 0.1344 0.4080
In: 0.9328 0.8656 0.5920
In: 0.2982 0.5964 0.9615
In: 0.7018 0.4036 0.0385
Pm: 0.3556 0.7113 0.6909
Pm: 0.6444 0.2887 0.3091

## Properties
The calculation puts the calculated formation energy at -0.3574 eV/atom. For the energy above the most stable polymorph in this dataset, the calculation gives 0.021 eV per atom. Its crystal system is monoclinic.

---

(3)
This record from Alexandria via LeMat-Bulk describes a relaxed structure of TcIrBr2. The functional is GGA-PBE.

a = 7.6373 Å, b = 7.6373 Å, c = 7.6373 Å
α = 157.16°, β = 146.29°, γ = 41.11°
Fractional coordinates of all 4 atoms:
Ir: 0.7500 0.2500 0.5000
Br: 0.1041 0.1041 0.0000
Br: 0.3959 0.3959 0.0000
Tc: 0.2500 0.7500 0.5000

## Properties
For the formation energy without anion corrections, the calculation gives 0.63 eV/atom. For the energy above the most stable polymorph in this dataset, the calculation gives 0.466 eV per atom. Its crystal system is orthorhombic.

---

(4)
This record from Alexandria via LeMat-Bulk describes a relaxed structure of K2CrRu. The functional is GGA-PBE.

a = 12.6105 Å, b = 12.6105 Å, c = 9.2017 Å
α = 46.75°, β = 46.75°, γ = 90.00°
Last column: magnetic moment on the atom in μB.
Fractional coordinates of all 8 atoms:
Cr: 0.2500 0.7500 0.5000  3.31
Cr: 0.5000 0.5000 0.0000  3.31
K: 0.3750 0.1827 0.7500  0.01
K: 0.8750 0.0673 0.7500  0.01
K: 0.8173 0.1250 0.2500  0.01
K: 0.9327 0.6250 0.2500  0.01
Ru: 0.0000 0.0000 0.0000  -0.92
Ru: 0.7500 0.2500 0.5000  -0.92

## Properties
The calculation puts the calculated formation energy at 1.1035 eV/atom. For the energy above the most stable polymorph in this dataset, the calculation gives 0.418 eV per atom. Its crystal system is tetragonal.